(1)
# AlSnAsO6 (PBE, relaxed)
data_AlSnAsO6
_cell_length_a 4.8870
_cell_length_b 4.8870
_cell_length_c 8.9232
_cell_angle_alpha 90.00
_cell_angle_beta 90.00
_cell_angle_gamma 120.00
_space_group_name_H-M_alt 'P 1'
_space_group_IT_number 1
_space_group_name_Hall 'P 1'
loop_
_atom_site_label
_atom_site_type_symbol
_atom_site_fract_x
_atom_site_fract_y
_atom_site_fract_z
O1 O 0.3536 0.3598 0.3645
O2 O 0.9938 0.6402 0.8645
O3 O 0.3598 0.3536 0.8645
O4 O 0.0062 0.6464 0.3645
O5 O 0.6402 0.9938 0.3645
O6 O 0.0062 0.3598 0.1355
O7 O 0.6464 0.0062 0.8645
O8 O 0.6402 0.6464 0.1355
O9 O 0.6464 0.6402 0.6355
O10 O 0.3598 0.0062 0.6355
O11 O 0.3536 0.9938 0.1355
O12 O 0.9938 0.3536 0.6355
Sn1 Sn 0.0000 0.0000 0.5000
Sn2 Sn 0.0000 0.0000 0.0000
As1 As 0.3333 0.6667 0.2500
As2 As 0.6667 0.3333 0.7500
Al1 Al 0.3333 0.6667 0.7500
Al2 Al 0.6667 0.3333 0.2500
# Crystal system: trigonal
# VASP energy (eV/atom): -6.52



(2)
# SrAl3As4O12 (PBE, relaxed)
data_SrAl3As4O12
_cell_length_a 6.5664
_cell_length_b 6.5664
_cell_length_c 6.5664
_cell_angle_alpha 105.86
_cell_angle_beta 105.86
_cell_angle_gamma 105.86
_space_group_name_H-M_alt 'P 1'
_space_group_IT_number 1
_space_group_name_Hall 'P 1'
loop_
_atom_site_label
_atom_site_type_symbol
_atom_site_fract_x
_atom_site_fract_y
_atom_site_fract_z
O1 O 0.3057 0.6943 0.5000
O2 O 0.6943 0.5000 0.3057
O3 O 0.5000 0.0688 0.9312
O4 O 0.9312 0.5000 0.0688
O5 O 0.7130 0.9710 0.6323
O6 O 0.0688 0.9312 0.5000
O7 O 0.9710 0.6323 0.7130
O8 O 0.2870 0.3677 0.0290
O9 O 0.0290 0.2870 0.3677
O10 O 0.3677 0.0290 0.2870
O11 O 0.5000 0.3057 0.6943
O12 O 0.6323 0.7130 0.9710
As1 As 0.8996 0.1004 0.5000
As2 As 0.5000 0.5000 0.5000
As3 As 0.1004 0.5000 0.8996
As4 As 0.5000 0.8996 0.1004
Al1 Al 0.0000 0.5796 0.4204
Al2 Al 0.5796 0.4204 0.0000
Al3 Al 0.4204 0.0000 0.5796
Sr1 Sr 0.0000 0.0000 0.0000
# Crystal system: trigonal
# VASP energy (eV/atom): -6.31



(3)
# SrAlAsO (PBE, relaxed)
data_SrAlAsO
_cell_length_a 4.0503
_cell_length_b 4.0503
_cell_length_c 11.8101
_cell_angle_alpha 90.00
_cell_angle_beta 90.00
_cell_angle_gamma 120.00
_space_group_name_H-M_alt 'P 1'
_space_group_IT_number 1
_space_group_name_Hall 'P 1'
loop_
_atom_site_label
_atom_site_type_symbol
_atom_site_fract_x
_atom_site_fract_y
_atom_site_fract_z
Al1 Al 0.0000 0.0000 0.1513
Al2 Al 0.0000 0.0000 0.6513
As1 As 0.3333 0.6667 0.2285
As2 As 0.6667 0.3333 0.7285
Sr1 Sr 0.6667 0.3333 0.4307
Sr2 Sr 0.3333 0.6667 0.9307
O1 O 0.0000 0.0000 0.5019
O2 O 0.0000 0.0000 0.0019
# Crystal system: hexagonal
# VASP energy (eV/atom): -5.62



(4)
# SrAlAsO6 (PBE, relaxed)
data_SrAlAsO6
_cell_length_a 5.0025
_cell_length_b 5.0025
_cell_length_c 5.4877
_cell_angle_alpha 90.00
_cell_angle_beta 90.00
_cell_angle_gamma 59.99
_space_group_name_H-M_alt 'P 1'
_space_group_IT_number 1
_space_group_name_Hall 'P 1'
loop_
_atom_site_label
_atom_site_type_symbol
_atom_site_fract_x
_atom_site_fract_y
_atom_site_fract_z
O1 O 0.3765 0.9896 0.6880
O2 O 0.6339 0.9894 0.3119
O3 O 0.9896 0.3765 0.3120
O4 O 0.3767 0.6338 0.3119
O5 O 0.6337 0.3767 0.6881
O6 O 0.9894 0.6340 0.6880
Sr1 Sr 0.0000 0.0000 0.0000
Al1 Al 0.3333 0.3334 0.5000
As1 As 0.6666 0.6666 0.5000
# Crystal system: trigonal
# VASP energy (eV/atom): -6.26



(5)
# Sr2AlAsO6 (PBE, relaxed)
data_Sr2AlAsO6
_cell_length_a 5.4745
_cell_length_b 5.4745
_cell_length_c 9.6432
_cell_angle_alpha 73.51
_cell_angle_beta 73.51
_cell_angle_gamma 60.00
_space_group_name_H-M_alt 'P 1'
_space_group_IT_number 1
_space_group_name_Hall 'P 1'
loop_
_atom_site_label
_atom_site_type_symbol
_atom_site_fract_x
_atom_site_fract_y
_atom_site_fract_z
O1 O 0.2088 0.2088 0.8788
O2 O 0.7912 0.2964 0.1212
O3 O 0.2088 0.7036 0.8788
O4 O 0.7036 0.2088 0.8788
O5 O 0.3927 0.8507 0.3640
O6 O 0.2964 0.7912 0.1212
O7 O 0.6073 0.6073 0.6360
O8 O 0.1493 0.6073 0.6360
O9 O 0.8507 0.3927 0.3640
O10 O 0.7912 0.7912 0.1212
O11 O 0.6073 0.1493 0.6360
O12 O 0.3927 0.3927 0.3640
Sr1 Sr 0.7147 0.7147 0.8558
Sr2 Sr 0.8731 0.8731 0.3806
Sr3 Sr 0.1269 0.1269 0.6194
Sr4 Sr 0.2853 0.2853 0.1442
As1 As 0.4088 0.4088 0.7735
As2 As 0.5912 0.5912 0.2265
Al1 Al 0.5000 0.5000 0.5000
Al2 Al 0.0000 0.0000 0.0000
# Crystal system: trigonal
# VASP energy (eV/atom): -6.56



(6)
# SrAlAs2O8 (PBE, relaxed)
data_SrAlAs2O8
_cell_length_a 5.1607
_cell_length_b 5.1607
_cell_length_c 7.0666
_cell_angle_alpha 90.00
_cell_angle_beta 90.00
_cell_angle_gamma 120.00
_space_group_name_H-M_alt 'P 1'
_space_group_IT_number 1
_space_group_name_Hall 'P 1'
loop_
_atom_site_label
_atom_site_type_symbol
_atom_site_fract_x
_atom_site_fract_y
_atom_site_fract_z
As1 As 0.6667 0.3333 0.2761
As2 As 0.3333 0.6667 0.7239
O1 O 0.6667 0.3333 0.0303
O2 O 0.0571 0.3133 0.6662
O3 O 0.3133 0.2562 0.3338
O4 O 0.6867 0.7438 0.6662
O5 O 0.2562 0.9429 0.6662
O6 O 0.7438 0.0571 0.3338
O7 O 0.9429 0.6867 0.3338
O8 O 0.3333 0.6667 0.9697
Sr1 Sr 0.0000 0.0000 0.0000
Al1 Al 0.0000 0.0000 0.5000
# Crystal system: trigonal
# VASP energy (eV/atom): -6.35



What did the sixth record say?
# SrAlAs2O8 (PBE, relaxed)
data_SrAlAs2O8
_cell_length_a 5.1607
_cell_length_b 5.1607
_cell_length_c 7.0666
_cell_angle_alpha 90.00
_cell_angle_beta 90.00
_cell_angle_gamma 120.00
_space_group_name_H-M_alt 'P 1'
_space_group_IT_number 1
_space_group_name_Hall 'P 1'
loop_
_atom_site_label
_atom_site_type_symbol
_atom_site_fract_x
_atom_site_fract_y
_atom_site_fract_z
As1 As 0.6667 0.3333 0.2761
As2 As 0.3333 0.6667 0.7239
O1 O 0.6667 0.3333 0.0303
O2 O 0.0571 0.3133 0.6662
O3 O 0.3133 0.2562 0.3338
O4 O 0.6867 0.7438 0.6662
O5 O 0.2562 0.9429 0.6662
O6 O 0.7438 0.0571 0.3338
O7 O 0.9429 0.6867 0.3338
O8 O 0.3333 0.6667 0.9697
Sr1 Sr 0.0000 0.0000 0.0000
Al1 Al 0.0000 0.0000 0.5000
# Crystal system: trigonal
# VASP energy (eV/atom): -6.35



Question: Number 5 is which compound?
Answer: Sr2AlAsO6